[1]
Here is a geometry-optimized VMoRu structure from Alexandria. Energies are from PBE-GGA.

a = 3.058 Å, b = 3.058 Å, c = 9.307 Å
α = 90.00°, β = 90.00°, γ = 90.00°
Atoms (fractional coordinates):
Mo  0.872  0.291  0.839
Mo  0.372  0.791  0.673
Ru  0.873  0.291  0.155
Ru  0.372  0.791  0.357
V  0.872  0.291  0.499
V  0.373  0.791  0.013

Calculated volume: 87 Å³/cell
Energy relative to the elements: -0.123 eV/atom
N(E_F): 0.6645 states/eV/atom
Space group: P4/nmm, No. 129
E: -29.59 eV/f.u.
Polymorph energy (0 for the lowest one): 0 meV per atom


[2]
Here is a geometry-optimized V4MoRu structure from Alexandria. Energies are from PBE-GGA.

a = 4.860 Å, b = 6.393 Å, c = 6.651 Å
α = 118.73°, β = 101.03°, γ = 90.00°
Atoms (fractional coordinates):
V  0.000  0.808  0.000
V  0.453  0.054  0.745
V  0.000  0.192  0.000
V  0.453  0.690  0.745
V  0.749  0.321  0.641
V  0.251  0.679  0.359
V  0.547  0.946  0.255
V  0.547  0.310  0.255
Mo  0.246  0.443  0.885
Mo  0.754  0.557  0.115
Ru  0.134  0.206  0.411
Ru  0.866  0.794  0.589

Calculated volume: 177 Å³/cell
Energy relative to the elements: 0.303 eV/atom
N(E_F): 1.3162 states/eV/atom
Space group: C2/m, No. 12
E: -54.77 eV/f.u.
Polymorph energy (0 for the lowest one): 539 meV per atom


[3]
Here is a geometry-optimized VMoRu structure from Alexandria. Energies are from PBE-GGA.

a = 2.738 Å, b = 4.274 Å, c = 4.274 Å
α = 120.00°, β = 90.00°, γ = 90.00°
Atoms (fractional coordinates):
Mo  0.025  0.000  0.000
Ru  0.648  0.667  0.333
V  0.327  0.333  0.667

Calculated volume: 43 Å³/cell
Energy relative to the elements: -0.032 eV/atom
N(E_F): 1.1594 states/eV/atom
Space group: P3m1, No. 156
E: -29.32 eV/f.u.
Polymorph energy (0 for the lowest one): 91 meV per atom